The following is a PBE+U calculation of a geometry-optimized Sc3MoF structure, from Alexandria via LeMat-Bulk.

Values from the calculation:
* E_tot: -6.191 eV per atom
* mass density: 4.3 g/cm3
* offset from the most stable computed form: 0 meV/atom
* M_tot: 2.04 μB per formula unit

a = 4.5725 Å, b = 4.5725 Å, c = 4.5725 Å
α = 90.00°, β = 90.00°, γ = 90.00°
Space group Pm-3m (No. 221)
Inequivalent atoms, fractional coordinates:
1 Sc 0.0000 0.0000 0.5000 [3 per cell]
2 Mo 0.5000 0.5000 0.5000 [1 per cell]
3 F 0.0000 0.0000 0.0000 [1 per cell]